Entry one
Pm4CoPb2 | GGA-PBE | relaxed

a = 6.416 Å, b = 6.851 Å, c = 9.625 Å
α = 90.00°, β = 102.30°, γ = 90.00°
Space group P2_1/m (No. 11)
One atom of each set of equivalent atoms:
Pm 0.195 0.250 0.092 x2
Pm 0.220 0.000 0.741 x4
Pm 0.297 0.750 0.393 x2
Co 0.034 0.750 0.158 x2
Pb 0.199 0.250 0.438 x2
Pb 0.373 0.750 0.047 x2

=====

Entry two
Pm4CoPb2 | GGA-PBE | relaxed

a = 4.996 Å, b = 4.996 Å, c = 17.169 Å
α = 90.00°, β = 90.00°, γ = 90.00°
Space group I4/mmm (No. 139)
One atom of each set of equivalent atoms:
Pm 0.000 0.000 0.173 x4
Pm 0.000 0.500 0.000 x4
Co 0.000 0.000 0.000 x2
Pb 0.000 0.000 0.360 x4

=====

Of them, the most stable is entry one and the least stable is entry two.

=====

Entry one
Pr3CoPb | GGA-PBE | relaxed

a = 6.401 Å, b = 6.500 Å, c = 7.191 Å
α = 80.33°, β = 81.14°, γ = 80.40°
Space group P-1 (No. 2)
One atom of each set of equivalent atoms:
Pr 0.098 0.332 0.217 x2
Pr 0.365 0.784 0.986 x2
Pr 0.385 0.765 0.475 x2
Co 0.310 0.456 0.803 x2
Pb 0.094 0.172 0.703 x2

=====

Entry two
Pr3CoPb | GGA-PBE | relaxed

a = 5.322 Å, b = 5.322 Å, c = 5.322 Å
α = 90.00°, β = 90.00°, γ = 90.00°
Space group Pm-3m (No. 221)
One atom of each set of equivalent atoms:
Pr 0.000 0.000 0.500 x3
Co 0.000 0.000 0.000 x1
Pb 0.500 0.500 0.500 x1

=====

Of them, the most stable is entry one and the least stable is entry two.

=====

Entry one
CoPt3Pb | GGA-PBE | relaxed

a = 5.030 Å, b = 5.030 Å, c = 5.030 Å
α = 90.00°, β = 90.00°, γ = 90.00°
Space group Pm-3m (No. 221)
One atom of each set of equivalent atoms:
Co 0.000 0.000 0.000 x1
Pt 0.000 0.500 0.500 x3
Pb 0.500 0.500 0.500 x1

=====

Entry two
CoPt3Pb | GGA-PBE | relaxed

a = 4.670 Å, b = 4.670 Å, c = 4.670 Å
α = 90.00°, β = 90.00°, γ = 90.00°
Space group Pm-3m (No. 221)
One atom of each set of equivalent atoms:
Co 0.000 0.000 0.000 x1
Pt 0.000 0.000 0.500 x3
Pb 0.500 0.500 0.500 x1

=====

Of them, the most stable is entry two and the least stable is entry one.

=====

Entry one
Co3PtPb | GGA-PBE | relaxed

a = 4.674 Å, b = 4.674 Å, c = 4.674 Å
α = 90.00°, β = 90.00°, γ = 90.00°
Space group Pm-3m (No. 221)
One atom of each set of equivalent atoms:
Co 0.000 0.000 0.500 x3
Pt 0.000 0.000 0.000 x1
Pb 0.500 0.500 0.500 x1

=====

Entry two
Co3PtPb | GGA-PBE | relaxed

a = 4.696 Å, b = 4.696 Å, c = 4.696 Å
α = 90.00°, β = 90.00°, γ = 90.00°
Space group Pm-3m (No. 221)
One atom of each set of equivalent atoms:
Co 0.000 0.000 0.500 x3
Pt 0.500 0.500 0.500 x1
Pb 0.000 0.000 0.000 x1

=====

Of them, the most stable is entry one and the least stable is entry two.

=====

Entry one
RbCo3Pb | GGA-PBE | relaxed

a = 4.768 Å, b = 4.768 Å, c = 4.768 Å
α = 90.00°, β = 90.00°, γ = 90.00°
Space group Pm-3m (No. 221)
One atom of each set of equivalent atoms:
Rb 0.000 0.000 0.000 x1
Co 0.000 0.000 0.500 x3
Pb 0.500 0.500 0.500 x1

=====

Entry two
RbCo3Pb | GGA-PBE | relaxed

a = 5.108 Å, b = 5.108 Å, c = 5.108 Å
α = 90.00°, β = 90.00°, γ = 90.00°
Space group Pm-3m (No. 221)
One atom of each set of equivalent atoms:
Rb 0.000 0.000 0.000 x1
Co 0.000 0.500 0.500 x3
Pb 0.500 0.500 0.500 x1

=====

Of them, the most stable is entry two and the least stable is entry one.

=====

Entry one
CoRhPb2 | GGA-PBE | relaxed

a = 4.472 Å, b = 3.326 Å, c = 5.595 Å
α = 90.00°, β = 109.98°, γ = 90.00°
Space group P2/m (No. 10)
One atom of each set of equivalent atoms:
Co 0.000 0.000 0.000 x1
Rh 0.500 0.500 0.500 x1
Pb 0.000 0.000 0.500 x1
Pb 0.500 0.500 0.000 x1

=====

Entry two
CoRhPb2 | GGA-PBE | relaxed

a = 3.467 Å, b = 3.996 Å, c = 5.636 Å
α = 90.00°, β = 90.00°, γ = 90.00°
Space group Pmm2 (No. 25)
One atom of each set of equivalent atoms:
Co 0.000 0.000 0.000 x1
Rh 0.500 0.500 0.671 x1
Pb 0.000 0.000 0.514 x1
Pb 0.500 0.500 0.148 x1

=====

Entry three
CoRhPb2 | GGA-PBE | relaxed

a = 6.826 Å, b = 6.826 Å, c = 6.826 Å
α = 90.00°, β = 90.00°, γ = 90.00°
Space group F-43m (No. 216)
One atom of each set of equivalent atoms:
Co 0.000 0.000 0.000 x4
Rh 0.250 0.250 0.250 x4
Pb 0.000 0.000 0.500 x4
Pb 0.250 0.250 0.750 x4

=====

Entry four
CoRhPb2 | GGA-PBE | relaxed

a = 4.123 Å, b = 3.751 Å, c = 10.217 Å
α = 90.00°, β = 90.00°, γ = 90.00°
Space group Amm2 (No. 38)
One atom of each set of equivalent atoms:
Co 0.000 0.000 0.000 x2
Rh 0.500 0.000 0.857 x2
Pb 0.000 0.000 0.277 x2
Pb 0.500 0.000 0.572 x2

=====

Of them, the most stable is entry four and the least stable is entry three.

=====

Entry one
CoRhPb2 | GGA-PBE | relaxed

a = 6.715 Å, b = 6.715 Å, c = 6.715 Å
α = 90.00°, β = 90.00°, γ = 90.00°
Space group Fm-3m (No. 225)
One atom of each set of equivalent atoms:
Co 0.000 0.000 0.000 x4
Rh 0.000 0.000 0.500 x4
Pb 0.250 0.250 0.250 x8

=====

Entry two
CoRhPb2 | GGA-PBE | relaxed

a = 3.3675 Å, b = 3.3675 Å, c = 23.8415 Å
α = 90.00°, β = 90.00°, γ = 120.00°
Space group R-3m (No. 166, hexagonal axes)
One atom of each set of equivalent atoms:
Co 0.0000 0.0000 0.0000 x3
Rh 0.0000 0.0000 0.5000 x3
Pb 0.0000 0.0000 0.2526 x6

=====

Entry three
CoRhPb2 | GGA-PBE | relaxed

a = 3.172 Å, b = 4.243 Å, c = 11.747 Å
α = 90.00°, β = 90.00°, γ = 90.00°
Space group Imm2 (No. 44)
One atom of each set of equivalent atoms:
Co 0.000 0.000 0.000 x2
Rh 0.000 0.500 0.309 x2
Pb 0.000 0.000 0.472 x2
Pb 0.000 0.500 0.705 x2

=====

Entry four
CoRhPb2 | GGA-PBE | relaxed

a = 3.879 Å, b = 3.879 Å, c = 10.102 Å
α = 90.00°, β = 90.00°, γ = 90.00°
Space group I-4m2 (No. 119)
One atom of each set of equivalent atoms:
Co 0.000 0.000 0.000 x2
Rh 0.000 0.500 0.250 x2
Pb 0.000 0.000 0.500 x2
Pb 0.000 0.500 0.750 x2

=====

Of them, the most stable is entry three and the least stable is entry four.

=====

Entry one
Co3RhPb | GGA-PBE | relaxed

a = 4.600 Å, b = 4.600 Å, c = 4.600 Å
α = 90.00°, β = 90.00°, γ = 90.00°
Space group Pm-3m (No. 221)
One atom of each set of equivalent atoms:
Co 0.000 0.000 0.500 x3
Rh 0.000 0.000 0.000 x1
Pb 0.500 0.500 0.500 x1

=====

Entry two
Co3RhPb | GGA-PBE | relaxed

a = 4.704 Å, b = 4.704 Å, c = 4.704 Å
α = 90.00°, β = 90.00°, γ = 90.00°
Space group Pm-3m (No. 221)
One atom of each set of equivalent atoms:
Co 0.000 0.000 0.500 x3
Rh 0.500 0.500 0.500 x1
Pb 0.000 0.000 0.000 x1

=====

Of them, the most stable is entry one and the least stable is entry two.